# 1
# LiIrOsW

A relaxed structure of LiIrOsW (PBE-GGA, the Alexandria database). Values from VASP.

Output
The space-group type is F-43m.

```
&SYSTEM
  ibrav = 0, nat = 4, ntyp = 4
/
ATOMIC_SPECIES
Ir 192.22 Ir.upf
Os 190.23 Os.upf
W 183.84 W.upf
Li 6.94 Li.upf
CELL_PARAMETERS angstrom
-2.028 -3.136 -2.136
-0.521 -3.859 1.829
-3.913 -1.275 1.255
ATOMIC_POSITIONS crystal
Ir 0.000 0.000 0.000
Os 0.500 0.500 0.500
W 0.250 0.250 0.250
Li 0.750 0.750 0.750
```


# 2
# LiZnIr2Os

A relaxed structure of LiZnIr2Os (PBE-GGA, the Alexandria database). Values from VASP.

Output
The space-group type is P4/mmm.

```
&SYSTEM
  ibrav = 0, nat = 5, ntyp = 4
/
ATOMIC_SPECIES
Zn 65.41 Zn.upf
Ir 192.22 Ir.upf
Os 190.23 Os.upf
Li 6.94 Li.upf
CELL_PARAMETERS angstrom
4.547 0.000 0.000
0.000 3.876 0.000
0.000 0.000 4.547
ATOMIC_POSITIONS crystal
Zn 0.000 0.000 0.000
Ir 0.000 0.000 0.500
Ir 0.500 0.000 0.000
Os 0.500 0.500 0.500
Li 0.000 0.500 0.000
```


# 3
# LiPIr2

A relaxed structure of LiPIr2 (PBE-GGA, the Alexandria database). Values from VASP.

Output
The space-group type is Immm.

```
&SYSTEM
  ibrav = 0, nat = 4, ntyp = 3
/
ATOMIC_SPECIES
Ir 192.22 Ir.upf
Li 6.94 Li.upf
P 30.97 P.upf
CELL_PARAMETERS angstrom
5.144 -0.011 -0.005
2.402 4.548 0.005
-3.206 -3.211 2.422
ATOMIC_POSITIONS crystal
Ir 0.046 0.046 0.000
Ir 0.454 0.454 0.000
Li 0.750 0.250 0.500
P 0.250 0.750 0.500
```


# 4
# Li2P2Ir

A relaxed structure of Li2P2Ir (PBE-GGA, the Alexandria database). Values from VASP.

Output
The space-group type is Immm. The value obtained for the distance to the lowest polymorph of the same formula is 167 meV per atom.

```
&SYSTEM
  ibrav = 0, nat = 5, ntyp = 3
/
ATOMIC_SPECIES
Li 6.94 Li.upf
P 30.97 P.upf
Ir 192.22 Ir.upf
CELL_PARAMETERS angstrom
-2.650 -2.558 1.015
1.623 -4.827 -0.739
1.676 -3.100 3.749
ATOMIC_POSITIONS crystal
Li 0.785 0.715 0.715
Li 0.215 0.285 0.285
P 0.500 0.720 0.280
P 0.500 0.280 0.720
Ir 0.000 0.000 0.000
```


# 5
# LiPIr2

A relaxed structure of LiPIr2 (PBE-GGA, the Alexandria database). Values from VASP.

Output
The space-group type is Pmm2.

```
&SYSTEM
  ibrav = 0, nat = 4, ntyp = 3
/
ATOMIC_SPECIES
Ir 192.22 Ir.upf
Li 6.94 Li.upf
P 30.97 P.upf
CELL_PARAMETERS angstrom
-0.491 -1.412 -2.340
1.875 -3.010 1.423
-4.188 -1.706 1.908
ATOMIC_POSITIONS crystal
Ir 0.000 0.000 0.974
Ir 0.500 0.500 0.278
Li 0.000 0.000 0.485
P 0.500 0.500 0.763
```


# 6
# LiPIr

A relaxed structure of LiPIr (PBE-GGA, the Alexandria database). Values from VASP.

Output
The space-group type is P-3m1.

```
&SYSTEM
  ibrav = 0, nat = 6, ntyp = 3
/
ATOMIC_SPECIES
P 30.97 P.upf
Li 6.94 Li.upf
Ir 192.22 Ir.upf
CELL_PARAMETERS angstrom
-2.452 -0.739 -3.060
1.030 -2.945 2.488
-6.740 1.832 4.959
ATOMIC_POSITIONS crystal
P 0.667 0.333 0.167
P 0.333 0.667 0.833
Li 0.000 0.000 0.278
Li 0.000 0.000 0.722
Ir 0.667 0.333 0.891
Ir 0.333 0.667 0.109
```


# 7
# LiPIr4

A relaxed structure of LiPIr4 (PBE-GGA, the Alexandria database). Values from VASP.

Output
The space-group type is F-43m.

```
&SYSTEM
  ibrav = 0, nat = 6, ntyp = 3
/
ATOMIC_SPECIES
Li 6.94 Li.upf
P 30.97 P.upf
Ir 192.22 Ir.upf
CELL_PARAMETERS angstrom
0.000 3.658 3.658
3.658 0.000 3.658
3.658 3.658 0.000
ATOMIC_POSITIONS crystal
Li 0.250 0.250 0.250
P 0.000 0.000 0.000
Ir 0.625 0.625 0.125
Ir 0.625 0.125 0.625
Ir 0.625 0.625 0.625
Ir 0.125 0.625 0.625
```


# 8
# LiPIr

A relaxed structure of LiPIr (PBE-GGA, the Alexandria database). Values from VASP.

Output
The space-group type is Fmm2.

```
&SYSTEM
  ibrav = 0, nat = 3, ntyp = 3
/
ATOMIC_SPECIES
Ir 192.22 Ir.upf
Li 6.94 Li.upf
P 30.97 P.upf
CELL_PARAMETERS angstrom
-3.787 1.648 5.305
-5.479 0.635 3.316
0.725 -1.667 2.131
ATOMIC_POSITIONS crystal
Ir 0.011 0.011 0.989
Li 0.330 0.330 0.670
P 0.659 0.659 0.341
```


# 9
# LiP2Ir2

A relaxed structure of LiP2Ir2 (PBE-GGA, the Alexandria database). Values from VASP.

Output
The space-group type is C2/c.

```
&SYSTEM
  ibrav = 0, nat = 10, ntyp = 3
/
ATOMIC_SPECIES
Li 6.94 Li.upf
P 30.97 P.upf
Ir 192.22 Ir.upf
CELL_PARAMETERS angstrom
-3.809 0.764 3.989
-2.461 1.639 -4.718
1.140 -6.697 -0.496
ATOMIC_POSITIONS crystal
Li 0.875 0.625 0.750
Li 0.125 0.375 0.250
P 0.167 0.333 0.750
P 0.416 0.084 0.250
P 0.584 0.916 0.750
P 0.833 0.667 0.250
Ir 0.253 0.003 0.507
Ir 0.503 0.753 0.007
Ir 0.747 0.997 0.493
Ir 0.497 0.247 0.993
```


# 10
# LiPIr2

A relaxed structure of LiPIr2 (PBE-GGA, the Alexandria database). Values from VASP.

Output
The space-group type is I-4m2.

```
&SYSTEM
  ibrav = 0, nat = 4, ntyp = 3
/
ATOMIC_SPECIES
Ir 192.22 Ir.upf
Li 6.94 Li.upf
P 30.97 P.upf
CELL_PARAMETERS angstrom
-1.670 4.474 0.071
-3.109 1.147 -3.439
0.482 -3.546 3.163
ATOMIC_POSITIONS crystal
Ir 0.000 0.000 0.000
Ir 0.250 0.750 0.500
Li 0.500 0.500 0.000
P 0.750 0.250 0.500
```


# 11
# LiPIr

A relaxed structure of LiPIr (PBE-GGA, the Alexandria database). Values from VASP.

Output
The space-group type is I4mm.

```
&SYSTEM
  ibrav = 0, nat = 3, ntyp = 3
/
ATOMIC_SPECIES
Ir 192.22 Ir.upf
Li 6.94 Li.upf
P 30.97 P.upf
CELL_PARAMETERS angstrom
-1.137 4.002 2.967
-3.194 0.318 3.977
3.784 -2.695 -2.130
ATOMIC_POSITIONS crystal
Ir 0.032 0.032 0.000
Li 0.328 0.328 0.000
P 0.640 0.640 0.000
```


# 12
# LiPIr2

A relaxed structure of LiPIr2 (PBE-GGA, the Alexandria database). Values from VASP.

Output
The space-group type is F-43m.

```
&SYSTEM
  ibrav = 0, nat = 4, ntyp = 3
/
ATOMIC_SPECIES
Ir 192.22 Ir.upf
Li 6.94 Li.upf
P 30.97 P.upf
CELL_PARAMETERS angstrom
-3.465 -1.233 -2.178
0.014 -3.716 -2.113
-2.361 -3.271 1.413
ATOMIC_POSITIONS crystal
Ir 0.000 0.000 0.000
Ir 0.250 0.250 0.250
Li 0.500 0.500 0.500
P 0.750 0.750 0.750
```


# 13
# LiPIr3

A relaxed structure of LiPIr3 (PBE-GGA, the Alexandria database). Values from VASP.

Output
The space-group type is Pm-3m. The value obtained for the distance to the lowest polymorph of the same formula is 815 meV per atom.

```
&SYSTEM
  ibrav = 0, nat = 5, ntyp = 3
/
ATOMIC_SPECIES
P 30.97 P.upf
Ir 192.22 Ir.upf
Li 6.94 Li.upf
CELL_PARAMETERS angstrom
4.137 0.000 0.000
0.000 4.137 0.000
0.000 0.000 4.137
ATOMIC_POSITIONS crystal
P 0.500 0.500 0.500
Ir 0.000 0.500 0.000
Ir 0.000 0.000 0.500
Ir 0.500 0.000 0.000
Li 0.000 0.000 0.000
```


# 14
# LiPIr

A relaxed structure of LiPIr (PBE-GGA, the Alexandria database). Values from VASP.

Output
The space-group type is P3m1.

```
&SYSTEM
  ibrav = 0, nat = 3, ntyp = 3
/
ATOMIC_SPECIES
Ir 192.22 Ir.upf
Li 6.94 Li.upf
P 30.97 P.upf
CELL_PARAMETERS angstrom
2.864 0.000 0.000
-1.432 2.480 0.000
0.000 0.000 6.096
ATOMIC_POSITIONS crystal
Ir 0.000 0.000 0.972
Li 0.667 0.333 0.339
P 0.333 0.667 0.689
```


Number 1: energy -35.6 eV for the cell shown, M_tot 0.000 μB per atom. Number 2: energy -25.7 eV for the cell shown, M_tot 0.573 μB per atom. Number 3: energy -25.9 eV for the cell shown, M_tot 0.000 μB per atom. Number 4: energy -26.5 eV for the cell shown, M_tot 0.000 μB per atom. Number 5: energy -25.8 eV for the cell shown, M_tot 0.000 μB per atom. Number 6: energy -35.3 eV for the cell shown, M_tot 0.000 μB per atom. Number 7: energy -39.9 eV for the cell shown, M_tot 0.000 μB per atom. Number 8: energy -16.4 eV for the cell shown, M_tot 0.000 μB per atom. Number 9: energy -65.7 eV for the cell shown, M_tot 0.000 μB per atom. Number 10: energy -25.5 eV for the cell shown, M_tot 0.000 μB per atom. Number 11: energy -17.4 eV for the cell shown, M_tot 0.000 μB per atom. Number 12: energy -24.6 eV for the cell shown, M_tot 0.000 μB per atom. Number 13: energy -28.4 eV for the cell shown, M_tot 0.000 μB per atom. Number 14: energy -16.8 eV for the cell shown, M_tot 0.000 μB per atom.